Entry 1:
# CdNiN2

An optimized crystal structure of CdNiN2 (PBEsol, the Alexandria database).

As for the total magnetic moment: 0.0 μB per formula unit. Its total energy is -5.008 eV per atom. The mass density comes out at 6.08 g/cm3.

The space group is R-3m (No. 166, hexagonal axes) and the conventional cell measures 3.2936, 3.2936 and 17.3757 Å, with angles of 90.00, 90.00 and 120.00 degrees. Symmetry generates all atoms from Cd at (0.0000, 0.0000, 0.0000), Ni at (0.0000, 0.0000, 0.5000) and N at (0.0000, 0.0000, 0.4027).


Entry 2:
# CdNiS2N

An optimized crystal structure of CdNiS2N (PBEsol, the Alexandria database).

As for the total magnetic moment: 0.0 μB per formula unit. Its total energy is -4.408 eV per atom. The mass density comes out at 5.73 g/cm3.

The space group is P4/mmm (No. 123) and the conventional cell measures 4.515, 4.515 and 3.541 Å, with angles of 90.00, 90.00 and 90.00 degrees. Symmetry generates all atoms from Cd at (0.000, 0.000, 0.000), Ni at (0.500, 0.500, 0.000), S at (0.000, 0.500, 0.500) and N at (0.500, 0.500, 0.500).


Entry 3:
# Cd2NO

An optimized crystal structure of Cd2NO (PBEsol, the Alexandria database).

As for the total magnetic moment: 1.0 μB per formula unit. Its total energy is -3.658 eV per atom. The mass density comes out at 8.53 g/cm3.

The space group is Fm-3m (No. 225) and the conventional cell measures 5.832, 5.832 and 5.832 Å, with angles of 90.00, 90.00 and 90.00 degrees. Symmetry generates all atoms from Cd at (0.250, 0.250, 0.250), N at (0.000, 0.000, 0.000) and O at (0.000, 0.000, 0.500).


Entry 4:
# CdOsNO2

An optimized crystal structure of CdOsNO2 (PBEsol, the Alexandria database).

As for the total magnetic moment: 4.3 μB per formula unit. Its total energy is -4.653 eV per atom. The mass density comes out at 8.77 g/cm3.

The space group is P4/mmm (No. 123) and the conventional cell measures 3.968, 3.968 and 4.192 Å, with angles of 90.00, 90.00 and 90.00 degrees. Symmetry generates all atoms from Cd at (0.000, 0.000, 0.000), Os at (0.500, 0.500, 0.500), N at (0.000, 0.000, 0.500) and O at (0.000, 0.500, 0.000).